# 1
# SmMgCdRh

A relaxed SmMgCdRh crystal (PBE-GGA, Alexandria via LeMat-Bulk).

Space group: No. 216
DFT formation energy, kJ per mole of atoms: -34.9

Lattice parameters (Å, degrees): 6.983 6.983 6.983 90.00 90.00 90.00
Positions (direct):
Sm  0.000  0.000  0.000
Sm  0.000  0.500  0.500
Sm  0.500  0.000  0.500
Sm  0.500  0.500  0.000
Mg  0.000  0.000  0.500
Mg  0.000  0.500  0.000
Mg  0.500  0.000  0.000
Mg  0.500  0.500  0.500
Cd  0.250  0.250  0.250
Cd  0.250  0.750  0.750
Cd  0.750  0.250  0.750
Cd  0.750  0.750  0.250
Rh  0.250  0.250  0.750
Rh  0.250  0.750  0.250
Rh  0.750  0.250  0.250
Rh  0.750  0.750  0.750

=====

# 2
# Mg5CdSn2Rh2

A relaxed Mg5CdSn2Rh2 crystal (PBE-GGA, Alexandria via LeMat-Bulk).

Space group: No. 127
DFT formation energy, kJ per mole of atoms: -28.8

Lattice parameters (Å, degrees): 9.553 9.553 4.342 90.00 90.00 90.00
Positions (direct):
Mg  0.000  0.500  0.000
Mg  0.080  0.208  0.000
Mg  0.208  0.920  0.000
Mg  0.292  0.420  0.000
Mg  0.420  0.708  0.000
Mg  0.500  0.000  0.000
Mg  0.580  0.292  0.000
Mg  0.708  0.580  0.000
Mg  0.792  0.080  0.000
Mg  0.920  0.792  0.000
Cd  0.000  0.000  0.500
Cd  0.500  0.500  0.500
Sn  0.171  0.671  0.500
Sn  0.329  0.171  0.500
Sn  0.671  0.829  0.500
Sn  0.829  0.329  0.500
Rh  0.120  0.380  0.500
Rh  0.380  0.880  0.500
Rh  0.620  0.120  0.500
Rh  0.880  0.620  0.500

=====

# 3
# MgCd2SnRh

A relaxed MgCd2SnRh crystal (PBE-GGA, Alexandria via LeMat-Bulk).

Space group: No. 123
DFT formation energy, kJ per mole of atoms: 55.2

Lattice parameters (Å, degrees): 5.137 5.137 4.686 90.00 90.00 90.00
Positions (direct):
Mg  0.000  0.000  0.000
Cd  0.000  0.500  0.000
Cd  0.500  0.000  0.000
Sn  0.500  0.500  0.500
Rh  0.000  0.000  0.500

=====

# 4
# Mg2CdSnRh

A relaxed Mg2CdSnRh crystal (PBE-GGA, Alexandria via LeMat-Bulk).

Space group: No. 123
DFT formation energy, kJ per mole of atoms: -13.4

Lattice parameters (Å, degrees): 5.019 5.019 5.011 90.00 90.00 90.00
Positions (direct):
Mg  0.000  0.500  0.000
Mg  0.500  0.000  0.000
Cd  0.000  0.000  0.500
Sn  0.500  0.500  0.500
Rh  0.500  0.500  0.000

=====

# 5
# SrMgCd2Rh

A relaxed SrMgCd2Rh crystal (PBE-GGA, Alexandria via LeMat-Bulk).

Space group: No. 123
DFT formation energy, kJ per mole of atoms: -22.0

Lattice parameters (Å, degrees): 5.251 5.251 4.928 90.00 90.00 90.00
Positions (direct):
Sr  0.000  0.000  0.000
Mg  0.500  0.500  0.000
Cd  0.000  0.500  0.500
Cd  0.500  0.000  0.500
Rh  0.500  0.500  0.500

=====

# 6
# TbMgCdRh

A relaxed TbMgCdRh crystal (PBE-GGA, Alexandria via LeMat-Bulk).

Space group: No. 216
DFT formation energy, kJ per mole of atoms: -38.5

Lattice parameters (Å, degrees): 6.905 6.905 6.905 90.00 90.00 90.00
Positions (direct):
Tb  0.000  0.000  0.000
Tb  0.000  0.500  0.500
Tb  0.500  0.000  0.500
Tb  0.500  0.500  0.000
Mg  0.000  0.000  0.500
Mg  0.000  0.500  0.000
Mg  0.500  0.000  0.000
Mg  0.500  0.500  0.500
Cd  0.250  0.250  0.250
Cd  0.250  0.750  0.750
Cd  0.750  0.250  0.750
Cd  0.750  0.750  0.250
Rh  0.250  0.250  0.750
Rh  0.250  0.750  0.250
Rh  0.750  0.250  0.250
Rh  0.750  0.750  0.750

=====

# 7
# ThMgCdRh

A relaxed ThMgCdRh crystal (PBE-GGA, Alexandria via LeMat-Bulk).

Space group: No. 216
DFT formation energy, kJ per mole of atoms: -30.8

Lattice parameters (Å, degrees): 7.082 7.082 7.082 90.00 90.00 90.00
Positions (direct):
Th  0.000  0.000  0.000
Th  0.000  0.500  0.500
Th  0.500  0.000  0.500
Th  0.500  0.500  0.000
Mg  0.000  0.000  0.500
Mg  0.000  0.500  0.000
Mg  0.500  0.000  0.000
Mg  0.500  0.500  0.500
Cd  0.250  0.250  0.750
Cd  0.250  0.750  0.250
Cd  0.750  0.250  0.250
Cd  0.750  0.750  0.750
Rh  0.250  0.250  0.250
Rh  0.250  0.750  0.750
Rh  0.750  0.250  0.750
Rh  0.750  0.750  0.250

=====

# 8
# MgTlCdRh

A relaxed MgTlCdRh crystal (PBE-GGA, Alexandria via LeMat-Bulk).

Space group: No. 216
DFT formation energy, kJ per mole of atoms: -4.0

Lattice parameters (Å, degrees): 6.724 6.724 6.724 90.00 90.00 90.00
Positions (direct):
Mg  0.000  0.000  0.000
Mg  0.000  0.500  0.500
Mg  0.500  0.000  0.500
Mg  0.500  0.500  0.000
Tl  0.250  0.250  0.250
Tl  0.250  0.750  0.750
Tl  0.750  0.250  0.750
Tl  0.750  0.750  0.250
Cd  0.250  0.250  0.750
Cd  0.250  0.750  0.250
Cd  0.750  0.250  0.250
Cd  0.750  0.750  0.750
Rh  0.000  0.000  0.500
Rh  0.000  0.500  0.000
Rh  0.500  0.000  0.000
Rh  0.500  0.500  0.500

=====

# 9
# Mg5TlCd2Rh2

A relaxed Mg5TlCd2Rh2 crystal (PBE-GGA, Alexandria via LeMat-Bulk).

Space group: No. 127
DFT formation energy, kJ per mole of atoms: -22.0

Lattice parameters (Å, degrees): 9.837 9.837 4.183 90.00 90.00 90.00
Positions (direct):
Mg  0.000  0.500  0.000
Mg  0.082  0.211  0.000
Mg  0.211  0.918  0.000
Mg  0.289  0.418  0.000
Mg  0.418  0.711  0.000
Mg  0.500  0.000  0.000
Mg  0.582  0.289  0.000
Mg  0.711  0.582  0.000
Mg  0.789  0.082  0.000
Mg  0.918  0.789  0.000
Tl  0.000  0.000  0.500
Tl  0.500  0.500  0.500
Cd  0.171  0.671  0.500
Cd  0.329  0.171  0.500
Cd  0.671  0.829  0.500
Cd  0.829  0.329  0.500
Rh  0.120  0.380  0.500
Rh  0.380  0.880  0.500
Rh  0.620  0.120  0.500
Rh  0.880  0.620  0.500

=====

# 10
# TmMgCdRh

A relaxed TmMgCdRh crystal (PBE-GGA, Alexandria via LeMat-Bulk).

Space group: No. 216
DFT formation energy, kJ per mole of atoms: -41.2
ΔE to the lowest computed polymorph, kcal/mol of atoms: 2.09

Lattice parameters (Å, degrees): 6.830 6.830 6.830 90.00 90.00 90.00
Positions (direct):
Tm  0.000  0.000  0.000
Tm  0.000  0.500  0.500
Tm  0.500  0.000  0.500
Tm  0.500  0.500  0.000
Mg  0.000  0.000  0.500
Mg  0.000  0.500  0.000
Mg  0.500  0.000  0.000
Mg  0.500  0.500  0.500
Cd  0.250  0.250  0.750
Cd  0.250  0.750  0.250
Cd  0.750  0.250  0.250
Cd  0.750  0.750  0.750
Rh  0.250  0.250  0.250
Rh  0.250  0.750  0.750
Rh  0.750  0.250  0.750
Rh  0.750  0.750  0.250

=====

# 11
# Tm2MgCdRh4

A relaxed Tm2MgCdRh4 crystal (PBE-GGA, Alexandria via LeMat-Bulk).

Space group: No. 166
DFT formation energy, kJ per mole of atoms: -67.6

Lattice parameters (Å, degrees): 8.027 8.027 8.027 33.50 33.50 33.50
Positions (direct):
Tm  0.249  0.249  0.249
Tm  0.751  0.751  0.751
Mg  0.000  0.000  0.000
Cd  0.500  0.500  0.500
Rh  0.123  0.123  0.123
Rh  0.373  0.373  0.373
Rh  0.627  0.627  0.627
Rh  0.877  0.877  0.877

=====

# 12
# TmMgCdRh

A relaxed TmMgCdRh crystal (PBE-GGA, Alexandria via LeMat-Bulk).

Space group: No. 99
DFT formation energy, kJ per mole of atoms: -50.0
ΔE to the lowest computed polymorph, kcal/mol of atoms: 0.00

Lattice parameters (Å, degrees): 3.339 3.339 7.279 90.00 90.00 90.00
Positions (direct):
Tm  0.000  0.000  0.000
Mg  0.000  0.000  0.428
Cd  0.500  0.500  0.684
Rh  0.500  0.500  0.219

=====

# 13
# MgZrCdRh

A relaxed MgZrCdRh crystal (PBE-GGA, Alexandria via LeMat-Bulk).

Space group: No. 216
DFT formation energy, kJ per mole of atoms: -33.6
ΔE to the lowest computed polymorph, kcal/mol of atoms: 2.07

Lattice parameters (Å, degrees): 6.689 6.689 6.689 90.00 90.00 90.00
Positions (direct):
Mg  0.000  0.000  0.000
Mg  0.000  0.500  0.500
Mg  0.500  0.000  0.500
Mg  0.500  0.500  0.000
Zr  0.000  0.000  0.500
Zr  0.000  0.500  0.000
Zr  0.500  0.000  0.000
Zr  0.500  0.500  0.500
Cd  0.250  0.250  0.750
Cd  0.250  0.750  0.250
Cd  0.750  0.250  0.250
Cd  0.750  0.750  0.750
Rh  0.250  0.250  0.250
Rh  0.250  0.750  0.750
Rh  0.750  0.250  0.750
Rh  0.750  0.750  0.250

=====

# 14
# MgZrCdRh

A relaxed MgZrCdRh crystal (PBE-GGA, Alexandria via LeMat-Bulk).

Space group: No. 99
DFT formation energy, kJ per mole of atoms: -42.3
ΔE to the lowest computed polymorph, kcal/mol of atoms: 0.00

Lattice parameters (Å, degrees): 3.236 3.236 7.333 90.00 90.00 90.00
Positions (direct):
Mg  0.000  0.000  0.000
Zr  0.000  0.000  0.433
Cd  0.500  0.500  0.733
Rh  0.500  0.500  0.222

=====

# 15
# MgCd2Ru

A relaxed MgCd2Ru crystal (PBE-GGA, Alexandria via LeMat-Bulk).

Space group: No. 99
DFT formation energy, kJ per mole of atoms: 10.5

Lattice parameters (Å, degrees): 3.411 3.411 6.336 90.00 90.00 90.00
Positions (direct):
Mg  0.000  0.000  0.000
Cd  0.000  0.000  0.439
Cd  0.500  0.500  0.724
Ru  0.500  0.500  0.197

=====

# 16
# Mg2CdRu

A relaxed Mg2CdRu crystal (PBE-GGA, Alexandria via LeMat-Bulk).

Space group: No. 25
DFT formation energy, kJ per mole of atoms: 8.7

Lattice parameters (Å, degrees): 2.971 4.183 5.837 90.00 90.00 90.00
Positions (direct):
Mg  0.000  0.000  0.000
Mg  0.500  0.500  0.282
Cd  0.500  0.500  0.743
Ru  0.000  0.000  0.485

=====

# 17
# Mg2CdRu2

A relaxed Mg2CdRu2 crystal (PBE-GGA, Alexandria via LeMat-Bulk).

Space group: No. 127
DFT formation energy, kJ per mole of atoms: 13.3

Lattice parameters (Å, degrees): 7.116 7.116 3.500 90.00 90.00 90.00
Positions (direct):
Mg  0.172  0.328  0.000
Mg  0.328  0.828  0.000
Mg  0.672  0.172  0.000
Mg  0.828  0.672  0.000
Cd  0.000  0.000  0.500
Cd  0.500  0.500  0.500
Ru  0.122  0.622  0.500
Ru  0.378  0.122  0.500
Ru  0.622  0.878  0.500
Ru  0.878  0.378  0.500

=====

# 18
# MgCdRu

A relaxed MgCdRu crystal (PBE-GGA, Alexandria via LeMat-Bulk).

Space group: No. 156
DFT formation energy, kJ per mole of atoms: 16.4
ΔE to the lowest computed polymorph, kcal/mol of atoms: 0.37

Lattice parameters (Å, degrees): 4.608 4.608 2.802 90.00 90.00 120.00
Positions (direct):
Mg  0.000  0.000  0.000
Cd  0.667  0.333  0.694
Ru  0.333  0.667  0.324

=====

# 19
# MgCdRu2

A relaxed MgCdRu2 crystal (PBE-GGA, Alexandria via LeMat-Bulk).

Space group: No. 139
DFT formation energy, kJ per mole of atoms: 30.2

Lattice parameters (Å, degrees): 3.940 3.940 8.493 90.00 90.00 90.00
Positions (direct):
Mg  0.000  0.000  0.000
Mg  0.500  0.500  0.500
Cd  0.000  0.000  0.500
Cd  0.500  0.500  0.000
Ru  0.000  0.500  0.250
Ru  0.000  0.500  0.750
Ru  0.500  0.000  0.250
Ru  0.500  0.000  0.750

=====

# 20
# MgCdRu2

A relaxed MgCdRu2 crystal (PBE-GGA, Alexandria via LeMat-Bulk).

Space group: No. 71
DFT formation energy, kJ per mole of atoms: 28.4

Lattice parameters (Å, degrees): 3.049 4.620 9.179 90.00 90.00 90.00
Positions (direct):
Mg  0.000  0.000  0.000
Mg  0.500  0.500  0.500
Cd  0.000  0.000  0.500
Cd  0.500  0.500  0.000
Ru  0.000  0.500  0.255
Ru  0.000  0.500  0.745
Ru  0.500  0.000  0.245
Ru  0.500  0.000  0.755

=====

# 21
# Mg2CdRu

A relaxed Mg2CdRu crystal (PBE-GGA, Alexandria via LeMat-Bulk).

Space group: No. 216
DFT formation energy, kJ per mole of atoms: 5.7

Lattice parameters (Å, degrees): 6.573 6.573 6.573 90.00 90.00 90.00
Positions (direct):
Mg  0.000  0.000  0.000
Mg  0.000  0.500  0.500
Mg  0.250  0.250  0.250
Mg  0.250  0.750  0.750
Mg  0.500  0.000  0.500
Mg  0.500  0.500  0.000
Mg  0.750  0.250  0.750
Mg  0.750  0.750  0.250
Cd  0.000  0.000  0.500
Cd  0.000  0.500  0.000
Cd  0.500  0.000  0.000
Cd  0.500  0.500  0.500
Ru  0.250  0.250  0.750
Ru  0.250  0.750  0.250
Ru  0.750  0.250  0.250
Ru  0.750  0.750  0.750

=====

# 22
# MgCd2Ru

A relaxed MgCd2Ru crystal (PBE-GGA, Alexandria via LeMat-Bulk).

Space group: No. 35
DFT formation energy, kJ per mole of atoms: 13.2

Lattice parameters (Å, degrees): 4.254 4.265 8.445 90.00 90.00 90.00
Positions (direct):
Mg  0.000  0.000  0.000
Mg  0.500  0.500  0.000
Cd  0.000  0.000  0.568
Cd  0.000  0.500  0.282
Cd  0.500  0.000  0.282
Cd  0.500  0.500  0.568
Ru  0.000  0.500  0.794
Ru  0.500  0.000  0.794

=====

# 23
# Mg5CdRu

A relaxed Mg5CdRu crystal (PBE-GGA, Alexandria via LeMat-Bulk).

Space group: No. 15
DFT formation energy, kJ per mole of atoms: 18.1

Lattice parameters (Å, degrees): 5.875 5.875 10.001 104.11 104.11 91.66
Positions (direct):
Mg  0.157  0.843  0.750
Mg  0.248  0.615  0.478
Mg  0.293  0.324  0.177
Mg  0.324  0.293  0.677
Mg  0.385  0.752  0.022
Mg  0.615  0.248  0.978
Mg  0.676  0.707  0.323
Mg  0.707  0.676  0.823
Mg  0.752  0.385  0.522
Mg  0.843  0.157  0.250
Cd  0.165  0.835  0.250
Cd  0.835  0.165  0.750
Ru  0.000  0.000  0.000
Ru  0.000  0.000  0.500

=====

# 24
# MgCdRu2

A relaxed MgCdRu2 crystal (PBE-GGA, Alexandria via LeMat-Bulk).

Space group: No. 160
DFT formation energy, kJ per mole of atoms: 15.3

Lattice parameters (Å, degrees): 2.869 2.869 28.333 90.00 90.00 120.00
Positions (direct):
Mg  0.000  0.000  0.000
Mg  0.333  0.667  0.667
Mg  0.667  0.333  0.333
Cd  0.000  0.000  0.235
Cd  0.333  0.667  0.901
Cd  0.667  0.333  0.568
Ru  0.000  0.000  0.481
Ru  0.000  0.000  0.745
Ru  0.333  0.667  0.148
Ru  0.333  0.667  0.412
Ru  0.667  0.333  0.079
Ru  0.667  0.333  0.815

=====

# 25
# MgCd2Ru

A relaxed MgCd2Ru crystal (PBE-GGA, Alexandria via LeMat-Bulk).

Space group: No. 123
DFT formation energy, kJ per mole of atoms: 16.5

Lattice parameters (Å, degrees): 3.460 3.460 6.176 90.00 90.00 90.00
Positions (direct):
Mg  0.000  0.000  0.000
Cd  0.500  0.500  0.266
Cd  0.500  0.500  0.734
Ru  0.000  0.000  0.500

=====

# 26
# Mg2CdRu

A relaxed Mg2CdRu crystal (PBE-GGA, Alexandria via LeMat-Bulk).

Space group: No. 119
DFT formation energy, kJ per mole of atoms: 0.6

Lattice parameters (Å, degrees): 4.004 4.004 8.778 90.00 90.00 90.00
Positions (direct):
Mg  0.000  0.000  0.000
Mg  0.000  0.500  0.250
Mg  0.500  0.000  0.750
Mg  0.500  0.500  0.500
Cd  0.000  0.000  0.500
Cd  0.500  0.500  0.000
Ru  0.000  0.500  0.750
Ru  0.500  0.000  0.250

=====

# 27
# MgCdRu2

A relaxed MgCdRu2 crystal (PBE-GGA, Alexandria via LeMat-Bulk).

Space group: No. 166
DFT formation energy, kJ per mole of atoms: 27.5

Lattice parameters (Å, degrees): 2.852 2.852 27.631 90.00 90.00 120.00
Positions (direct):
Mg  0.000  0.000  0.000
Mg  0.333  0.667  0.667
Mg  0.667  0.333  0.333
Cd  0.000  0.000  0.500
Cd  0.333  0.667  0.167
Cd  0.667  0.333  0.833
Ru  0.000  0.000  0.252
Ru  0.000  0.000  0.748
Ru  0.333  0.667  0.414
Ru  0.333  0.667  0.919
Ru  0.667  0.333  0.081
Ru  0.667  0.333  0.586